A relaxed La4NiAu crystal. Source: the Alexandria database, functional GGA-PBE.

Geometry as CIF:
```
data_La4NiAu
_cell_length_a 9.2777
_cell_length_b 14.8569
_cell_length_c 7.1241
_cell_angle_alpha 90.00
_cell_angle_beta 128.63
_cell_angle_gamma 90.00
_symmetry_space_group_name_H-M 'C 1 2/c 1'
_symmetry_Int_Tables_number 15
loop_
_symmetry_equiv_pos_as_xyz
'x,y,z'
'-x,-y,-z'
'-x,y,-z+1/2'
'x,-y,z+1/2'
'x+1/2,y+1/2,z'
'-x+1/2,-y+1/2,-z'
'-x+1/2,y+1/2,-z+1/2'
'x+1/2,-y+1/2,z+1/2'
loop_
_atom_site_label
_atom_site_type_symbol
_atom_site_fract_x
_atom_site_fract_y
_atom_site_fract_z
La1 La 0.1703 0.2167 0.1759
La2 La 0.2437 0.0370 0.7349
Ni1 Ni 0.0000 0.0853 0.2500
Au1 Au 0.0000 0.3788 0.7500
```

Output
- offset from the most stable computed form (meV/atom) = 62
- ρ (kg/m³) = 7025
- magnetic moment (Bohr magnetons per cell) = 0.00
- formation energy (kJ/mol of atoms) = -30.57

=====

A relaxed LaNiAu2 crystal. Source: the Alexandria database, functional GGA-PBE.

Geometry as CIF:
```
data_LaNiAu2
_cell_length_a 3.9959
_cell_length_b 3.9771
_cell_length_c 5.6938
_cell_angle_alpha 90.00
_cell_angle_beta 110.44
_cell_angle_gamma 90.00
_symmetry_space_group_name_H-M 'P 1 m 1'
_symmetry_Int_Tables_number 6
loop_
_symmetry_equiv_pos_as_xyz
'x,y,z'
'x,-y,z'
loop_
_atom_site_label
_atom_site_type_symbol
_atom_site_fract_x
_atom_site_fract_y
_atom_site_fract_z
La1 La 0.0000 0.0000 0.0000
Ni1 Ni 0.4302 0.5000 0.8592
Au1 Au 0.2782 0.0000 0.5544
Au2 Au 0.6796 0.5000 0.3582
```

Output
- ρ (kg/m³) = 11585
- magnetic moment (Bohr magnetons per cell) = 0.00
- formation energy (kJ/mol of atoms) = -38.42

=====

A relaxed LaNiPAu2 crystal. Source: the Alexandria database, functional GGA-PBE.

Geometry as CIF:
```
data_LaNiPAu2
_cell_length_a 5.5389
_cell_length_b 5.5389
_cell_length_c 4.7309
_cell_angle_alpha 90.00
_cell_angle_beta 90.00
_cell_angle_gamma 90.00
_symmetry_space_group_name_H-M 'P 4/m m m'
_symmetry_Int_Tables_number 123
_symmetry_space_group_name_Hall '-P 4 2'
loop_
_atom_site_label
_atom_site_type_symbol
_atom_site_fract_x
_atom_site_fract_y
_atom_site_fract_z
La1 La 0.0000 0.0000 0.0000
Ni1 Ni 0.0000 0.0000 0.5000
P1 P 0.5000 0.5000 0.5000
Au1 Au 0.0000 0.5000 0.0000
```

Output
- ρ (kg/m³) = 7122
- magnetic moment (Bohr magnetons per cell) = 0.11
- formation energy (kJ/mol of atoms) = 115.95